! Sm6Tl2Rh PBE-GGA relaxed; values from VASP
&SYSTEM
  ibrav = 0, nat = 9, ntyp = 3
/
ATOMIC_SPECIES
Sm 150.36 Sm.upf
Tl 204.38 Tl.upf
Rh 102.91 Rh.upf
CELL_PARAMETERS angstrom
5.323 0.000 -0.206
0.000 7.333 0.000
-2.376 -3.667 7.559
ATOMIC_POSITIONS crystal
Sm 0.152 0.396 0.305
Sm 0.848 0.091 0.695
Sm 0.848 0.604 0.695
Sm 0.500 0.226 0.000
Sm 0.152 0.909 0.305
Sm 0.500 0.774 0.000
Tl 0.669 0.669 0.338
Tl 0.331 0.331 0.662
Rh 0.000 0.000 0.000
! Electronic total energy, eV per atom: -4.6839
! Space group: No. 71
! Energy of formation, kJ/mol of formula units: -169.5
! Energy above the most stable polymorph in this dataset, meV/atom: 179.6



! PmFeC PBE-GGA relaxed; values from VASP
&SYSTEM
  ibrav = 0, nat = 6, ntyp = 3
/
ATOMIC_SPECIES
Fe 55.84 Fe.upf
C 12.01 C.upf
Pm 145.00 Pm.upf
CELL_PARAMETERS angstrom
3.464 0.700 0.941
2.492 6.358 0.226
1.852 3.195 5.031
ATOMIC_POSITIONS crystal
Fe 0.324 0.850 0.575
Fe 0.676 0.150 0.425
C 0.859 0.779 0.611
C 0.141 0.221 0.389
Pm 0.598 0.304 0.848
Pm 0.402 0.696 0.152
! Electronic total energy, eV per atom: -7.6685
! Space group: No. 12
! Energy of formation, kJ/mol of formula units: -54.8
! Energy above the most stable polymorph in this dataset, meV/atom: 0.0



! HoPaIrPd PBE-GGA relaxed; values from VASP
&SYSTEM
  ibrav = 0, nat = 4, ntyp = 4
/
ATOMIC_SPECIES
Ho 164.93 Ho.upf
Pa 231.04 Pa.upf
Ir 192.22 Ir.upf
Pd 106.42 Pd.upf
CELL_PARAMETERS angstrom
3.744 0.000 0.000
0.000 4.110 0.000
-1.872 0.000 5.719
ATOMIC_POSITIONS crystal
Ho 0.854 0.500 0.709
Pa 0.129 0.000 0.259
Ir 0.601 0.500 0.203
Pd 0.415 0.000 0.830
! Electronic total energy, eV per atom: -7.9193
! Space group: No. 38
! Energy of formation, kJ/mol of formula units: -342.5
! Energy above the most stable polymorph in this dataset, meV/atom: 0.0



! MnCr2Ni PBE-GGA relaxed; values from VASP
&SYSTEM
  ibrav = 0, nat = 4, ntyp = 3
/
ATOMIC_SPECIES
Cr 52.00 Cr.upf
Mn 54.94 Mn.upf
Ni 58.69 Ni.upf
CELL_PARAMETERS angstrom
2.941 0.000 0.000
0.000 2.941 0.000
0.000 0.000 5.642
ATOMIC_POSITIONS crystal
Cr 0.000 0.000 0.006
Cr 0.500 0.500 0.246
Mn 0.000 0.000 0.500
Ni 0.500 0.500 0.748
! Electronic total energy, eV per atom: -8.4924
! Space group: No. 99
! Energy of formation, kJ/mol of formula units: 22.0



! Ba3HSe PBE-GGA relaxed; values from VASP
&SYSTEM
  ibrav = 0, nat = 5, ntyp = 3
/
ATOMIC_SPECIES
H 1.01 H.upf
Ba 137.33 Ba.upf
Se 78.96 Se.upf
CELL_PARAMETERS angstrom
-1.057 -1.122 -5.219
5.334 -0.412 -0.992
-0.190 -5.309 1.180
ATOMIC_POSITIONS crystal
H 0.000 0.000 0.000
Ba 0.000 0.500 0.000
Ba 0.000 0.000 0.500
Ba 0.500 0.000 0.000
Se 0.500 0.500 0.500
! Electronic total energy, eV per atom: -3.0361
! Space group: No. 221
! Energy above the most stable polymorph in this dataset, meV/atom: 0.0



! CsZnCd2Ni PBE-GGA relaxed; values from VASP
&SYSTEM
  ibrav = 0, nat = 5, ntyp = 4
/
ATOMIC_SPECIES
Cs 132.91 Cs.upf
Ni 58.69 Ni.upf
Zn 65.41 Zn.upf
Cd 112.41 Cd.upf
CELL_PARAMETERS angstrom
-4.187 -1.804 2.609
0.715 -4.746 -2.134
2.921 -1.272 3.807
ATOMIC_POSITIONS crystal
Cs 0.500 0.500 0.500
Ni 0.000 0.000 0.000
Zn 0.000 0.000 0.500
Cd 0.000 0.500 0.000
Cd 0.500 0.000 0.000
! Electronic total energy, eV per atom: -1.8932
! Space group: No. 123
! Energy of formation, kJ/mol of formula units: 26.4



! USiAs2 PBE-GGA relaxed; values from VASP
&SYSTEM
  ibrav = 0, nat = 4, ntyp = 3
/
ATOMIC_SPECIES
As 74.92 As.upf
U 238.03 U.upf
Si 28.09 Si.upf
CELL_PARAMETERS angstrom
3.951 0.000 0.000
0.000 4.294 0.000
0.000 0.000 4.294
ATOMIC_POSITIONS crystal
As 0.000 0.000 0.500
As 0.000 0.500 0.000
U 0.500 0.000 0.000
Si 0.500 0.500 0.500
! Electronic total energy, eV per atom: -6.8604
! Space group: No. 123
! Energy above the most stable polymorph in this dataset, meV/atom: 0.0



! KInTeRh2 PBE-GGA relaxed; values from VASP
&SYSTEM
  ibrav = 0, nat = 5, ntyp = 4
/
ATOMIC_SPECIES
K 39.10 K.upf
Te 127.60 Te.upf
Rh 102.91 Rh.upf
In 114.82 In.upf
CELL_PARAMETERS angstrom
4.791 0.000 0.000
0.000 4.791 0.000
0.000 0.000 5.893
ATOMIC_POSITIONS crystal
K 0.000 0.000 0.000
Te 0.000 0.000 0.500
Rh 0.000 0.500 0.000
Rh 0.500 0.000 0.000
In 0.500 0.500 0.500
! Electronic total energy, eV per atom: -2.7698
! Space group: No. 123